Entry from Alexandria via LeMat-Bulk: a relaxed structure of MgRe2As (PBE-GGA).

Unit cell a=3.072 b=3.072 c=6.715 alpha=90.00 beta=90.00 gamma=90.00
Atoms (fractional coordinates):
As: 0.500 0.500 0.250
Mg: 0.500 0.500 0.750
Re: 0.000 0.000 0.042
Re: 0.000 0.000 0.458

## Properties
The theoretical density comes out at 12.4 g/cm3. The total energy is -29.3 eV for the cell shown. For the energy above the most stable polymorph in this dataset, the calculation gives 0.377 eV per atom. The value obtained for the density of states at the Fermi level is 2.90 states/eV per cell.

---

Entry from Alexandria via LeMat-Bulk: a relaxed structure of Mg2ReAs (PBE-GGA).

Unit cell a=4.861 b=4.861 c=5.260 alpha=82.67 beta=82.67 gamma=33.89
Atoms (fractional coordinates):
As: 0.250 0.250 0.250
Mg: 0.001 0.001 0.993
Mg: 0.499 0.499 0.507
Re: 0.750 0.750 0.750

## Properties
The theoretical density comes out at 7.5 g/cm3. The total energy is -18.7 eV for the cell shown. The value obtained for the density of states at the Fermi level is 2.45 states/eV per cell.

---

Entry from Alexandria via LeMat-Bulk: a relaxed structure of Mg2ReAs (PBE-GGA).

Unit cell a=4.903 b=4.903 c=4.687 alpha=69.79 beta=69.79 gamma=40.34
Atoms (fractional coordinates):
As: 0.237 0.237 0.325
Mg: 0.989 0.989 0.976
Mg: 0.754 0.754 0.765
Re: 0.520 0.520 0.433

## Properties
The theoretical density comes out at 7.6 g/cm3. The total energy is -20.0 eV for the cell shown. The value obtained for the density of states at the Fermi level is 0.42 states/eV per cell.

---

Entry from Alexandria via LeMat-Bulk: a relaxed structure of MgReAs2 (PBE-GGA).

Unit cell a=5.935 b=5.935 c=7.051 alpha=65.11 beta=65.11 gamma=90.00
Atoms (fractional coordinates):
Re: 0.000 0.000 0.000
Re: 0.750 0.250 0.500
As: 0.668 0.125 0.250
As: 0.082 0.625 0.250
As: 0.375 0.332 0.750
As: 0.875 0.918 0.750
Mg: 0.500 0.500 0.000
Mg: 0.250 0.750 0.500

## Properties
The theoretical density comes out at 6.0 g/cm3. The total energy is -45.0 eV for the cell shown. The value obtained for the density of states at the Fermi level is 5.36 states/eV per cell.

---

Entry from Alexandria via LeMat-Bulk: a relaxed structure of MgRe2As (PBE-GGA).

Unit cell a=2.961 b=2.961 c=7.811 alpha=90.00 beta=90.00 gamma=90.00
Atoms (fractional coordinates):
As: 0.000 0.000 0.453
Mg: 0.500 0.500 0.779
Re: 0.000 0.000 0.030
Re: 0.500 0.500 0.238

## Properties
The theoretical density comes out at 11.4 g/cm3. The total energy is -30.8 eV for the cell shown. For the energy above the most stable polymorph in this dataset, the calculation gives 0.000 eV per atom. The value obtained for the density of states at the Fermi level is 3.62 states/eV per cell.

---

Entry from Alexandria via LeMat-Bulk: a relaxed structure of MgRe2As (PBE-GGA).

Unit cell a=2.882 b=2.882 c=8.607 alpha=90.00 beta=90.00 gamma=115.77
Atoms (fractional coordinates):
As: 0.500 0.500 0.250
Mg: 0.500 0.500 0.750
Re: 0.000 0.000 0.023
Re: 0.000 0.000 0.477

## Properties
The theoretical density comes out at 12.2 g/cm3. The total energy is -29.0 eV for the cell shown. For the energy above the most stable polymorph in this dataset, the calculation gives 0.456 eV per atom. The value obtained for the density of states at the Fermi level is 2.62 states/eV per cell.

---

Q: The highest theoretical density belongs to which entry?
A: number 1